Ce2SiSn: optimized geometry, PBE.

CIF file:
```
data_Ce2SiSn
_chemical_formula_sum 'Ce2 Si1 Sn1'
_cell_length_a 4.7502
_cell_length_b 4.7502
_cell_length_c 4.3486
_cell_angle_alpha 90.00
_cell_angle_beta 90.00
_cell_angle_gamma 90.00
_space_group_name_H-M_alt 'P 4/m m m'
_space_group_IT_number 123
_space_group_name_Hall '-P 4 2'
loop_
_atom_site_label
_atom_site_fract_x
_atom_site_fract_y
_atom_site_fract_z
_atom_site_occupancy
Ce1 0.0000 0.5000 0.0000 1
Si1 0.0000 0.0000 0.5000 1
Sn1 0.5000 0.5000 0.5000 1
```

Calculated values
As for the formation energy (no corrections): -1.9 eV per formula unit. The theoretical density comes out at 7.2 g/cm3. For the density of states at the Fermi level, the calculation gives 2.338 states/eV per atom.